Here is a relaxed YMg2AgN crystal from Alexandria. Energies are from PBE-GGA.

size of the total moment = 0.0000 μB/atom
symmetry = P4/mmm, No. 123
raw total energy = -4.674 eV/atom
formation energy (no corrections) = -49.1 kJ per mole of atoms

Cell: 4.3547 4.3547 4.8017 Å, 90.00 90.00 90.00°
Closest atoms and distances in Å follow each position.
Fractional positions:
Y: 0.0000 0.0000 0.0000  2 N 2.40
Mg: 0.0000 0.5000 0.5000  2 N 2.18
Mg: 0.5000 0.0000 0.5000  2 N 2.18
Ag: 0.5000 0.5000 0.0000  4 Y 3.08, 8 Mg 3.24
N: 0.0000 0.0000 0.5000  4 Mg 2.18, 2 Y 2.40



Here is a relaxed Y2MgAgN crystal from Alexandria. Energies are from PBE-GGA.

size of the total moment = 0.0000 μB/atom
symmetry = P4/mmm, No. 123
raw total energy = -5.810 eV/atom
formation energy (no corrections) = -64.6 kJ per mole of atoms

Cell: 4.8462 4.8462 4.2735 Å, 90.00 90.00 90.00°
Closest atoms and distances in Å follow each position.
Fractional positions:
Y: 0.0000 0.5000 0.0000  2 N 2.42
Y: 0.5000 0.0000 0.0000  2 N 2.42
Mg: 0.0000 0.0000 0.5000  2 N 2.14
Ag: 0.5000 0.5000 0.5000  8 Y 3.23, 4 Mg 3.43
N: 0.0000 0.0000 0.0000  2 Mg 2.14



Here is a relaxed NaMgAg4 crystal from Alexandria. Energies are from PBE-GGA.

relative energy among the computed polymorphs = 0.029 eV per atom
energy of formation = -0.0178 eV per atom
size of the total moment = 0.0000 μB/atom
symmetry = C2/c, No. 15
raw total energy = -2.404 eV/atom

Cell: 5.5185 5.5185 7.7722 Å, 96.51 96.51 96.76°
Closest atoms and distances in Å follow each position.
Fractional positions:
Na: 0.0837 0.9163 0.7500  8 Ag 2.82-3.07, 1 Mg 2.95
Na: 0.9163 0.0837 0.2500  8 Ag 2.82-3.07, 1 Mg 2.95
Mg: 0.4408 0.5592 0.7500  6 Ag 2.70-2.98, 1 Na 2.95
Mg: 0.5592 0.4408 0.2500  6 Ag 2.70-2.98, 1 Na 2.95
Ag: 0.1136 0.6261 0.3725  7 Ag 2.87-3.16, 2 Mg 2.98-3.11, 2 Na 3.07
Ag: 0.1780 0.3492 0.9914  2 Mg 2.70-2.77, 1 Ag 2.73, 2 Na 2.82-3.02
Ag: 0.3492 0.1780 0.4914  2 Mg 2.70-2.77, 1 Ag 2.73, 2 Na 2.82-3.02
Ag: 0.3739 0.8864 0.1275  7 Ag 2.87-3.16, 2 Mg 2.98-3.11, 2 Na 3.07
Ag: 0.6261 0.1136 0.8725  7 Ag 2.87-3.16, 2 Mg 2.98-3.11, 2 Na 3.07
Ag: 0.6508 0.8220 0.5086  2 Mg 2.70-2.77, 1 Ag 2.73, 2 Na 2.82-3.02
Ag: 0.8220 0.6508 0.0086  2 Mg 2.70-2.77, 1 Ag 2.73, 2 Na 2.82-3.02
Ag: 0.8864 0.3739 0.6275  7 Ag 2.87-3.16, 2 Mg 2.98-3.11, 2 Na 3.07



Here is a relaxed NaMg3Ag crystal from Alexandria. Energies are from PBE-GGA.

relative energy among the computed polymorphs = 0.000 eV per atom
energy of formation = 0.0852 eV per atom
size of the total moment = 0.0000 μB/atom
symmetry = Pm-3m, No. 221
raw total energy = -1.706 eV/atom

Cell: 5.2178 5.2178 5.2178 Å, 90.00 90.00 90.00°
Closest atoms and distances in Å follow each position.
Fractional positions:
Na: 0.0000 0.0000 0.0000  12 Mg 3.69
Mg: 0.0000 0.5000 0.5000  2 Ag 2.61
Mg: 0.5000 0.0000 0.5000  2 Ag 2.61
Mg: 0.5000 0.5000 0.0000  2 Ag 2.61
Ag: 0.5000 0.5000 0.5000  6 Mg 2.61



Number 1 is which compound?
YMg2AgN



The highest raw total energy belongs to which entry?
NaMg3Ag



raw total energy of number 1 (YMg2AgN)?
-4.674 eV/atom